Entry 1:
# TaMnFe2S

A relaxed structure of TaMnFe2S (PBE, the Alexandria database).

Summary:
Space-group type: P4/mmm, No. 123
Formation energy without anion corrections (meV per atom): 631
Theoretical density (g/cm3): 8.76
DFT total energy (eV per atom): -7.784
Calculated volume (Å³/atom): 14.401

```
TaMnFe2S
1.0
-1.951 -3.325 -0.985
2.348 -2.307 3.138
-2.794 0.837 2.706
Ta S Fe Mn
1 1 2 1
Direct
0.000 0.500 0.000
0.000 0.000 0.000
0.000 0.000 0.500
0.500 0.000 0.000
0.500 0.500 0.500
```


Entry 2:
# Mn2FeTcS

A relaxed structure of Mn2FeTcS (PBE, the Alexandria database).

Summary:
Space-group type: P4/mmm, No. 123
Formation energy without anion corrections (meV per atom): 1051
Theoretical density (g/cm3): 5.49
DFT total energy (eV per atom): -7.208
Calculated volume (Å³/atom): 17.886

```
Mn2FeTcS
1.0
-4.439 -0.671 0.898
1.021 -3.140 2.701
0.236 3.026 3.428
Tc Fe Mn S
1 1 2 1
Direct
0.000 0.500 0.000
0.000 0.000 0.000
0.000 0.000 0.500
0.500 0.000 0.000
0.500 0.500 0.500
```


Entry 3:
# MnTlFeS3

A relaxed structure of MnTlFeS3 (PBE, the Alexandria database).

Summary:
Space-group type: P2_1/m, No. 11
Formation energy without anion corrections (meV per atom): -464
Theoretical density (g/cm3): 5.86
DFT total energy (eV per atom): -5.860
Calculated volume (Å³/atom): 19.426

```
MnTlFeS3
1.0
3.443 0.000 0.000
0.000 7.839 -0.722
0.000 -3.704 8.978
S Mn Tl Fe
6 2 2 2
Direct
0.750 0.463 0.116
0.250 0.537 0.884
0.750 0.223 0.570
0.750 0.897 0.159
0.250 0.103 0.841
0.250 0.777 0.430
0.750 0.302 0.839
0.250 0.698 0.161
0.750 0.704 0.713
0.250 0.296 0.287
0.750 0.921 0.391
0.250 0.079 0.609
```


Entry 4:
# MnFe2Sb8

A relaxed structure of MnFe2Sb8 (PBE, the Alexandria database).

Summary:
Space-group type: C2/m, No. 12
Formation energy without anion corrections (meV per atom): 212
Theoretical density (g/cm3): 6.62
DFT total energy (eV per atom): -5.159
Calculated volume (Å³/atom): 26.031

```
MnFe2Sb8
1.0
5.017 -0.114 -0.086
-0.039 7.520 -0.800
-0.039 1.254 7.458
Sb Mn Fe
8 1 2
Direct
0.759 0.567 0.567
0.268 0.877 0.287
0.732 0.123 0.713
0.732 0.713 0.123
0.268 0.287 0.877
0.273 0.800 0.800
0.241 0.433 0.433
0.727 0.200 0.200
0.000 0.000 0.000
0.772 0.791 0.791
0.228 0.209 0.209
```


Entry 5:
# Mn3FeSb

A relaxed structure of Mn3FeSb (PBE, the Alexandria database).

Summary:
Energy above the most stable polymorph in this dataset (meV per atom): 0
Space-group type: Pm-3m, No. 221
Formation energy without anion corrections (meV per atom): 755
Theoretical density (g/cm3): 6.68
DFT total energy (eV per atom): -7.263
Calculated volume (Å³/atom): 17.031

```
Mn3FeSb
1.0
4.400 0.000 0.000
0.000 4.400 0.000
0.000 0.000 4.400
Fe Mn Sb
1 3 1
Direct
0.000 0.000 0.000
0.500 0.000 0.000
0.000 0.000 0.500
0.000 0.500 0.000
0.500 0.500 0.500
```


Entry 6:
# MnFeSb2

A relaxed structure of MnFeSb2 (PBE, the Alexandria database).

Summary:
Energy above the most stable polymorph in this dataset (meV per atom): 400
Space-group type: I-42d, No. 122
Formation energy without anion corrections (meV per atom): 492
Theoretical density (g/cm3): 6.97
DFT total energy (eV per atom): -5.978
Calculated volume (Å³/atom): 21.104

```
MnFeSb2
1.0
-3.411 -6.015 2.526
6.169 -3.901 -0.960
2.277 -4.251 3.681
Sb Mn Fe
4 2 2
Direct
0.645 0.125 0.250
0.375 0.355 0.750
0.875 0.895 0.750
0.105 0.625 0.250
0.500 0.500 0.000
0.250 0.750 0.500
0.000 0.000 0.000
0.750 0.250 0.500
```


Entry 7:
# MnFeSb6

A relaxed structure of MnFeSb6 (PBE, the Alexandria database).

Summary:
Space-group type: C2/m, No. 12
Formation energy without anion corrections (meV per atom): -24
Theoretical density (g/cm3): 6.96
DFT total energy (eV per atom): -5.320
Calculated volume (Å³/atom): 25.098

```
MnFeSb6
1.0
7.569 -0.043 -2.660
-3.764 6.566 -2.662
0.018 0.038 8.077
Sb Fe Mn
12 2 2
Direct
0.840 0.677 0.517
0.160 0.323 0.483
0.674 0.821 0.167
0.326 0.179 0.833
0.346 0.493 0.167
0.179 0.851 0.346
0.494 0.167 0.346
0.654 0.507 0.833
0.821 0.149 0.654
0.506 0.833 0.654
0.153 0.651 0.804
0.847 0.349 0.196
0.500 0.500 0.500
0.000 0.000 0.500
0.000 0.500 0.000
0.500 0.000 0.000
```


Entry 8:
# MnFeSb2

A relaxed structure of MnFeSb2 (PBE, the Alexandria database).

Summary:
Energy above the most stable polymorph in this dataset (meV per atom): 47
Space-group type: Cm, No. 8
Formation energy without anion corrections (meV per atom): 138
Theoretical density (g/cm3): 6.90
DFT total energy (eV per atom): -6.331
Calculated volume (Å³/atom): 21.322

```
MnFeSb2
1.0
4.431 -0.151 0.377
3.322 2.937 0.377
1.403 0.504 6.448
Mn Sb Fe
1 2 1
Direct
0.250 0.250 0.295
0.740 0.740 0.637
0.013 0.013 0.113
0.498 0.498 0.455
```


Entry 9:
# MnFeSb2

A relaxed structure of MnFeSb2 (PBE, the Alexandria database).

Summary:
Energy above the most stable polymorph in this dataset (meV per atom): 2
Space-group type: P4mm, No. 99
Formation energy without anion corrections (meV per atom): 94
Theoretical density (g/cm3): 7.39
DFT total energy (eV per atom): -6.376
Calculated volume (Å³/atom): 19.908

```
MnFeSb2
1.0
3.278 0.056 0.000
-0.056 3.278 0.000
0.000 0.000 7.410
Sb Mn Fe
2 1 1
Direct
0.500 0.500 0.338
0.000 0.000 0.914
0.500 0.500 0.711
0.000 0.000 0.537
```


Entry 10:
# MnFeSb2

A relaxed structure of MnFeSb2 (PBE, the Alexandria database).

Summary:
Energy above the most stable polymorph in this dataset (meV per atom): 245
Space-group type: P4/mmm, No. 123
Formation energy without anion corrections (meV per atom): 336
Theoretical density (g/cm3): 8.22
DFT total energy (eV per atom): -6.133
Calculated volume (Å³/atom): 17.899

```
MnFeSb2
1.0
-3.705 -2.229 1.740
1.795 -4.070 -1.391
1.545 -0.308 2.895
Sb Mn Fe
2 1 1
Direct
0.000 0.000 0.000
0.500 0.500 0.000
0.000 0.500 0.500
0.500 0.000 0.500
```


Entry 11:
# MnFeSb2

A relaxed structure of MnFeSb2 (PBE, the Alexandria database).

Summary:
Energy above the most stable polymorph in this dataset (meV per atom): 279
Space-group type: Imm2, No. 44
Formation energy without anion corrections (meV per atom): 371
Theoretical density (g/cm3): 8.02
DFT total energy (eV per atom): -6.099
Calculated volume (Å³/atom): 18.341

```
MnFeSb2
1.0
-1.618 1.976 4.819
-4.930 -1.535 1.756
4.830 -1.946 -1.623
Sb Mn Fe
2 1 1
Direct
0.011 0.011 0.000
0.732 0.232 0.500
0.269 0.769 0.500
0.489 0.489 0.000
```


Entry 12:
# MnFeSb2

A relaxed structure of MnFeSb2 (PBE, the Alexandria database).

Summary:
Energy above the most stable polymorph in this dataset (meV per atom): 197
Space-group type: C2/m, No. 12
Formation energy without anion corrections (meV per atom): 288
Theoretical density (g/cm3): 7.24
DFT total energy (eV per atom): -6.181
Calculated volume (Å³/atom): 20.327

```
MnFeSb2
1.0
-3.603 0.091 -1.598
-3.236 -1.044 1.997
-2.759 5.573 2.042
Sb Mn Fe
2 1 1
Direct
0.005 0.005 0.983
0.495 0.495 0.517
0.250 0.250 0.250
0.750 0.750 0.750
```